Entry 1:
DFT (PBE-GGA) results for a geometry-optimized CuC2I structure.

Computed properties:
Magnetization = 0.00 μB/f.u.
E_form (uncorrected) = 2802 meV/atom
Offset from the most stable computed form = 755 meV per atom
Symmetry = No. 225

a b c (Å): 4.1622 4.1622 4.1622
angles (deg): 60.00 60.00 60.00
Last column: nearest neighbours and their distance in Å.
Fractional positions:
I: 0.5000 0.5000 0.5000  8 C 2.55
C: 0.2500 0.2500 0.2500  4 I 2.55, 4 Cu 2.55
C: 0.7500 0.7500 0.7500  4 I 2.55, 4 Cu 2.55
Cu: 0.0000 0.0000 0.0000  8 C 2.55



Entry 2:
DFT (PBE-GGA) results for a geometry-optimized Sr2TlP structure.

Computed properties:
Magnetization = 0.00 μB/f.u.
Offset from the most stable computed form = 201 meV per atom
ΔH_f (0 K) = -0.452 eV per atom
Symmetry = No. 225

a b c (Å): 5.5399 5.5399 5.5399
angles (deg): 60.00 60.00 60.00
Last column: nearest neighbours and their distance in Å.
Fractional positions:
Sr: 0.2500 0.2500 0.2500  4 Tl 3.39, 4 P 3.39
Sr: 0.7500 0.7500 0.7500  4 P 3.39, 4 Tl 3.39
Tl: 0.5000 0.5000 0.5000  8 Sr 3.39
P: 0.0000 0.0000 0.0000  8 Sr 3.39



Entry 3:
DFT (PBE-GGA) results for a geometry-optimized TiAlOs structure.

Computed properties:
Magnetization = 0.16 μB/f.u.
ΔH_f (0 K) = -0.207 eV per atom
Symmetry = No. 71

a b c (Å): 4.3881 5.1426 5.1426
angles (deg): 96.02 64.75 64.75
Last column: nearest neighbours and their distance in Å.
Fractional positions:
Ti: 0.0000 0.8373 0.1627  1 Ti 2.49, 4 Al 2.56-2.65
Ti: 0.0000 0.1627 0.8373  1 Ti 2.49, 4 Al 2.56-2.65
Al: 0.5000 0.6652 0.3348  1 Al 2.53, 4 Ti 2.56-2.65
Al: 0.5000 0.3348 0.6652  1 Al 2.53, 4 Ti 2.56-2.65
Os: 0.7551 0.7449 0.7449  2 Os 2.60-2.70, 6 Al 2.84-2.89, 6 Ti 2.86-2.89
Os: 0.2449 0.2551 0.2551  2 Os 2.60-2.70, 6 Al 2.84-2.89, 6 Ti 2.86-2.89



Entry 4:
DFT (PBE-GGA) results for a geometry-optimized LiC5 structure.

Computed properties:
Magnetization = 0.00 μB/f.u.
Offset from the most stable computed form = 452 meV per atom
ΔH_f (0 K) = 1.145 eV per atom
Symmetry = No. 8

a b c (Å): 3.5282 3.5282 8.8355
angles (deg): 57.85 57.85 40.13
Last column: nearest neighbours and their distance in Å.
Fractional positions:
Li: 0.5236 0.5236 0.8749  3 C 2.15-2.35
C: 0.8657 0.8657 0.1180  2 C 1.41
C: 0.2923 0.2923 0.2186  3 C 1.41-1.43
C: 0.9527 0.9527 0.6711  2 C 1.56
C: 0.1460 0.1460 0.4144  3 C 1.43-1.50
C: 0.5531 0.5531 0.5364  4 C 1.50-1.56



Question: What is the magnetization in the fourth record?
Answer: 0.00 μB/f.u.



Question: Among the records above, which one has the highest magnetization?
Answer: TiAlOs